Record 1
This record from the Alexandria database describes a geometry-optimized Sr2CoTc structure. The functional is PBE.

Properties
- electronic total energy (eV/atom) = -4.2390
- energy relative to the elements (eV/atom) = 0.97
- DOS at the Fermi energy (states/eV/cell) = 8.6
- volume (Å³/atom) = 25.27

Unit cell a=3.5648 b=3.5648 c=7.9532 alpha=90.00 beta=90.00 gamma=90.00
With the nearest neighbours (Å) after each atom.
Space group P4/mmm (No. 123)
Unique sites:
Sr (0.0000, 0.0000, 0.2394) (multiplicity 2)  4 Co 3.16, 4 Tc 3.26
Co (0.5000, 0.5000, 0.0000) (multiplicity 1)  8 Sr 3.16
Tc (0.5000, 0.5000, 0.5000) (multiplicity 1)  8 Sr 3.26, 4 Tc 3.56

Record 2
This record from the Alexandria database describes a geometry-optimized Sr2CoTc structure. The functional is PBE.

Properties
- electronic total energy (eV/atom) = -4.6994
- energy relative to the elements (eV/atom) = 0.51
- DOS at the Fermi energy (states/eV/cell) = 4.8
- volume (Å³/atom) = 26.68

Unit cell a=3.4358 b=3.4358 c=9.0390 alpha=90.00 beta=90.00 gamma=90.00
With the nearest neighbours (Å) after each atom.
Space group P4mm (No. 99)
Unique sites:
Sr (0.0000, 0.0000, 0.0000) (multiplicity 1)  1 Tc 2.96
Sr (0.5000, 0.5000, 0.4118) (multiplicity 1)  1 Co 2.99
Co (0.5000, 0.5000, 0.7427) (multiplicity 1)  4 Tc 2.51
Tc (0.0000, 0.0000, 0.6725) (multiplicity 1)  4 Co 2.51

Record 3
This record from the Alexandria database describes a geometry-optimized SrCoTc2 structure. The functional is PBE.

Properties
- electronic total energy (eV/atom) = -6.1085
- energy relative to the elements (eV/atom) = 1.27
- DOS at the Fermi energy (states/eV/cell) = 5.5
- volume (Å³/atom) = 17.08

Unit cell a=4.5939 b=4.5939 c=3.2380 alpha=90.00 beta=90.00 gamma=90.00
With the nearest neighbours (Å) after each atom.
Space group P4/mmm (No. 123)
Unique sites:
Sr (0.0000, 0.0000, 0.0000) (multiplicity 1)  8 Tc 2.81
Co (0.5000, 0.5000, 0.0000) (multiplicity 1)  8 Tc 2.81
Tc (0.0000, 0.5000, 0.5000) (multiplicity 2)  4 Co 2.81, 4 Sr 2.81

Record 4
This record from the Alexandria database describes a geometry-optimized SrCoTc2 structure. The functional is PBE.

Properties
- electronic total energy (eV/atom) = -6.6391
- energy relative to the elements (eV/atom) = 0.74
- DOS at the Fermi energy (states/eV/cell) = 4.6
- volume (Å³/atom) = 21.94

Unit cell a=3.7245 b=4.4170 c=5.5387 alpha=90.00 beta=105.56 gamma=90.00
With the nearest neighbours (Å) after each atom.
Space group P2/m (No. 10)
Unique sites:
Sr (0.0000, 0.0000, 0.0000) (multiplicity 1)  2 Co 2.89
Co (0.5000, 0.0000, 0.5000) (multiplicity 1)  4 Tc 2.50
Tc (0.3001, 0.5000, 0.6314) (multiplicity 2)  2 Tc 2.32-2.34, 2 Co 2.50

Record 5
This record from the Alexandria database describes a geometry-optimized SrCoTc2 structure. The functional is PBE.

Properties
- electronic total energy (eV/atom) = -6.5289
- energy relative to the elements (eV/atom) = 0.85
- DOS at the Fermi energy (states/eV/cell) = 10.1
- volume (Å³/atom) = 18.61

Unit cell a=3.1716 b=5.2191 c=8.9952 alpha=90.00 beta=90.00 gamma=90.00
With the nearest neighbours (Å) after each atom.
Space group Imm2 (No. 44)
Unique sites:
Sr (0.0000, 0.0000, 0.0000) (multiplicity 2)  4 Co 3.04-3.23, 8 Tc 3.05-3.17, 2 Sr 3.17
Co (0.0000, 0.5000, 0.2123) (multiplicity 2)  2 Tc 2.45
Tc (0.0000, 0.0000, 0.5051) (multiplicity 2)  2 Tc 2.43, 2 Co 2.45
Tc (0.0000, 0.5000, 0.7997) (multiplicity 2)  2 Tc 2.43

Record 6
This record from the Alexandria database describes a geometry-optimized SrCoTc2 structure. The functional is PBE.

Properties
- electronic total energy (eV/atom) = -6.8078
- energy relative to the elements (eV/atom) = 0.57
- DOS at the Fermi energy (states/eV/cell) = 10.3
- volume (Å³/atom) = 20.35

Unit cell a=8.6303 b=3.2060 c=6.0705 alpha=90.00 beta=104.29 gamma=90.00
With the nearest neighbours (Å) after each atom.
Space group Cm (No. 8)
Unique sites:
Sr (0.0000, 0.0000, 0.0000) (multiplicity 2)  3 Co 3.17-3.18, 2 Sr 3.21, 7 Tc 3.28-3.46
Co (0.2739, 0.5000, 0.3410) (multiplicity 2)  4 Tc 2.45-2.47
Tc (0.2070, 0.0000, 0.6131) (multiplicity 2)  3 Tc 2.45-2.71, 2 Co 2.47
Tc (0.4881, 0.0000, 0.4903) (multiplicity 2)  2 Co 2.45, 3 Tc 2.45-2.71

How do the records compare in distance to the lowest polymorph of the same formula? In the order shown, they have 727.7; 267.4; 787.7; 257.1; 367.3; 88.5 meV per atom.